An optimized crystal structure of CsSnSbPt2. Source: Alexandria via LeMat-Bulk, functional PBE-GGA.

Computed properties:
Total magnetization ... 0.0000 μB per atom
Space-group type ... P2_1/m, No. 11
Energy relative to the elements, uncorrected ... -9.93 kcal/mol of atoms

a b c (Å): 4.6634 7.4111 9.8918
angles (deg): 102.83 90.00 90.00
Fractional coordinates of all 10 atoms:
Cs 0.2500 0.9549 0.2403
Sb 0.2500 0.3637 0.5680
Sn 0.7500 0.6512 0.9569
Cs 0.7500 0.0451 0.7597
Pt 0.7500 0.5070 0.6655
Sn 0.2500 0.3488 0.0431
Sb 0.7500 0.6363 0.4320
Pt 0.2500 0.4930 0.3345
Pt 0.7500 0.4599 0.1641
Pt 0.2500 0.5401 0.8359

=====

An optimized crystal structure of CsThSb2Pt2. Source: Alexandria via LeMat-Bulk, functional PBE-GGA.

Computed properties:
Total magnetization ... 0.0000 μB per atom
Space-group type ... P-3m1, No. 164
Energy relative to the elements, uncorrected ... -19.99 kcal/mol of atoms

a b c (Å): 4.4900 4.4900 10.5356
angles (deg): 90.00 90.00 120.00
Fractional coordinates of all 6 atoms:
Pt 0.6667 0.3333 0.6627
Cs 0.0000 0.0000 0.0000
Pt 0.3333 0.6667 0.3373
Sb 0.6667 0.3333 0.2758
Th 0.0000 0.0000 0.5000
Sb 0.3333 0.6667 0.7242

=====

An optimized crystal structure of CsTiSb2Pt. Source: Alexandria via LeMat-Bulk, functional PBE-GGA.

Computed properties:
Total magnetization ... 0.0000 μB per atom
Space-group type ... P4/mmm, No. 123
Energy relative to the elements, uncorrected ... 0.73 kcal/mol of atoms

a b c (Å): 5.3648 5.1233 5.3648
angles (deg): 90.00 90.00 90.00
Fractional coordinates of all 5 atoms:
Sb 0.0000 0.0000 0.5000
Sb 0.5000 0.0000 0.0000
Pt 0.0000 0.5000 0.0000
Cs 0.5000 0.5000 0.5000
Ti 0.0000 0.0000 0.0000

=====

An optimized crystal structure of CsTlSbPt. Source: Alexandria via LeMat-Bulk, functional PBE-GGA.

Computed properties:
Total magnetization ... 0.0000 μB per atom
Space-group type ... R3m, No. 160
Energy relative to the elements, uncorrected ... -8.43 kcal/mol of atoms

a b c (Å): 4.4999 4.4999 8.2519
angles (deg): 90.00 105.82 120.00
Fractional coordinates of all 4 atoms:
Cs 0.4086 0.0690 0.4774
Pt 0.7901 0.2596 0.0497
Sb 0.5057 0.6174 0.1232
Tl 0.9878 0.8584 0.8462

=====

An optimized crystal structure of CsTlSbPt2. Source: Alexandria via LeMat-Bulk, functional PBE-GGA.

Computed properties:
Total magnetization ... 0.0000 μB per atom
Space-group type ... P2_1/m, No. 11
Energy relative to the elements, uncorrected ... -6.63 kcal/mol of atoms

a b c (Å): 4.6346 8.3602 9.5232
angles (deg): 112.49 90.00 90.00
Fractional coordinates of all 10 atoms:
Pt 0.7500 0.4724 0.0680
Tl 0.2500 0.3022 0.6095
Sb 0.7500 0.6351 0.8658
Pt 0.2500 0.5170 0.4286
Tl 0.7500 0.6978 0.3905
Cs 0.2500 0.9450 0.2151
Pt 0.2500 0.5276 0.9320
Pt 0.7500 0.4830 0.5714
Cs 0.7500 0.0550 0.7849
Sb 0.2500 0.3649 0.1342

=====

An optimized crystal structure of Cs2ScPt. Source: Alexandria via LeMat-Bulk, functional PBE-GGA.

Computed properties:
Total magnetization ... 0.3131 μB per atom
Energy above the lowest structure with this stoichiometry ... 709 meV/atom
Space-group type ... Fm-3m, No. 225
ΔE_f ... 0.871 eV/atom

a b c (Å): 5.9421 5.9421 5.9421
angles (deg): 60.00 60.00 60.00
Last column: magnetic moment on the atom in μB.
Fractional coordinates of all 4 atoms:
Sc 0.0000 0.0000 0.0000  0.83
Pt 0.5000 0.5000 0.5000  -0.08
Cs 0.7500 0.7500 0.7500  0.02
Cs 0.2500 0.2500 0.2500  0.02

=====

Question: total magnetization of number 1 (CsSnSbPt2)?
Answer: 0.0000 μB per atom

=====

Question: What is the total magnetization in the second record?
Answer: 0.0000 μB per atom

=====

Question: The highest total magnetization belongs to which entry?
Answer: Cs2ScPt

=====

What did the first record say?
An optimized crystal structure of CsSnSbPt2. Source: Alexandria via LeMat-Bulk, functional PBE-GGA.

Computed properties:
Total magnetization ... 0.0000 μB per atom
Space-group type ... P2_1/m, No. 11
Energy relative to the elements, uncorrected ... -9.93 kcal/mol of atoms

a b c (Å): 4.6634 7.4111 9.8918
angles (deg): 102.83 90.00 90.00
Fractional coordinates of all 10 atoms:
Cs 0.2500 0.9549 0.2403
Sb 0.2500 0.3637 0.5680
Sn 0.7500 0.6512 0.9569
Cs 0.7500 0.0451 0.7597
Pt 0.7500 0.5070 0.6655
Sn 0.2500 0.3488 0.0431
Sb 0.7500 0.6363 0.4320
Pt 0.2500 0.4930 0.3345
Pt 0.7500 0.4599 0.1641
Pt 0.2500 0.5401 0.8359